# 1
Computed, not measured: an optimized crystal structure of GaSiP2 at the PBE level of DFT.

Calculated values
Calculated density = 3.436 g/cm³
Polymorph energy (0 for the lowest one) = 302.3 meV per atom
Space group = No. 166
Volume = 77.2 Å³ per cell

abc: 7.277 7.277 7.277
angles: 28.43 28.43 28.43
Fractional positions:
Ga 0.000 0.000 0.000
Si 0.500 0.500 0.500
P 0.109 0.109 0.109
P 0.891 0.891 0.891

=====

# 2
Computed, not measured: an optimized crystal structure of GaSiP3 at the PBE level of DFT.

Calculated values
Calculated density = 3.112 g/cm³
Space group = No. 221
Volume = 101.8 Å³ per cell

abc: 4.669 4.669 4.669
angles: 90.00 90.00 90.00
Fractional positions:
Ga 0.000 0.000 0.000
Si 0.500 0.500 0.500
P 0.000 0.000 0.500
P 0.000 0.500 0.000
P 0.500 0.000 0.000

=====

# 3
Computed, not measured: an optimized crystal structure of Ga2SiP at the PBE level of DFT.

Calculated values
Calculated density = 3.789 g/cm³
Polymorph energy (0 for the lowest one) = 0.0 meV per atom
Space group = No. 122
Volume = 174.0 Å³ per cell

abc: 6.764 6.764 6.764
angles: 130.68 130.68 72.33
Fractional positions:
Ga 0.117 0.625 0.992
Ga 0.375 0.367 0.492
Ga 0.633 0.125 0.008
Ga 0.875 0.883 0.508
Si 0.250 0.750 0.500
Si 0.500 0.500 0.000
P 0.000 0.000 0.000
P 0.750 0.250 0.500

=====

| no. | raw formation energy (meV per atom) | raw total energy (eV per atom) |
| --- | --- | --- |
| 1 | 182 | -4.635 |
| 2 | 1123 | -3.813 |
| 3 | -15 | -4.237 |